Record 1
# CoNiMo4 | the Alexandria database | PBE | relaxed
# ΔE_f: 0.586 eV/atom
# crystal system: cubic
# VASP energy: -8.78 eV/atom
data_CoNiMo4
_chemical_formula_sum 'Co4 Ni4 Mo16'
_cell_length_a 7.224
_cell_length_b 7.224
_cell_length_c 7.224
_cell_angle_alpha 90.00
_cell_angle_beta 90.00
_cell_angle_gamma 90.00
_symmetry_space_group_name_H-M 'F -4 3 m'
_symmetry_Int_Tables_number 216
_symmetry_space_group_name_Hall 'F -4 2 3'
loop_
_atom_site_label
_atom_site_type_symbol
_atom_site_fract_x
_atom_site_fract_y
_atom_site_fract_z
Co1 Co 0.000 0.000 0.000
Ni1 Ni 0.250 0.250 0.250
Mo1 Mo 0.125 0.125 0.625

***

Record 2
# CoNi6Mo | the Alexandria database | PBE | relaxed
# ΔE_f: -0.005 eV/atom
# crystal system: orthorhombic
# VASP energy: -6.58 eV/atom
data_CoNi6Mo
_chemical_formula_sum 'Co2 Ni12 Mo2'
_cell_length_a 3.541
_cell_length_b 7.212
_cell_length_c 7.142
_cell_angle_alpha 90.00
_cell_angle_beta 90.00
_cell_angle_gamma 90.00
_symmetry_space_group_name_H-M 'A m m 2'
_symmetry_Int_Tables_number 38
loop_
_symmetry_equiv_pos_as_xyz
'x,y,z'
'-x,-y,z'
'-x,y,z'
'x,-y,z'
'x,y+1/2,z+1/2'
'-x,-y+1/2,z+1/2'
'-x,y+1/2,z+1/2'
'x,-y+1/2,z+1/2'
loop_
_atom_site_label
_atom_site_type_symbol
_atom_site_fract_x
_atom_site_fract_y
_atom_site_fract_z
Co1 Co 0.000 0.000 0.000
Ni1 Ni 0.000 0.000 0.497
Ni2 Ni 0.000 0.247 0.249
Ni3 Ni 0.500 0.000 0.247
Ni4 Ni 0.500 0.250 0.000
Mo1 Mo 0.500 0.000 0.752

***

Record 3
# CoNi3Mo | the Alexandria database | PBE | relaxed
# ΔE_f: 1.173 eV/atom
# crystal system: cubic
# VASP energy: -5.88 eV/atom
data_CoNi3Mo
_chemical_formula_sum 'Co1 Ni3 Mo1'
_cell_length_a 4.211
_cell_length_b 4.211
_cell_length_c 4.211
_cell_angle_alpha 90.00
_cell_angle_beta 90.00
_cell_angle_gamma 90.00
_symmetry_space_group_name_H-M 'P m -3 m'
_symmetry_Int_Tables_number 221
_symmetry_space_group_name_Hall '-P 4 2 3'
loop_
_atom_site_label
_atom_site_type_symbol
_atom_site_fract_x
_atom_site_fract_y
_atom_site_fract_z
Co1 Co 0.000 0.000 0.000
Ni1 Ni 0.000 0.000 0.500
Mo1 Mo 0.500 0.500 0.500

***

Record 4
# CoNi5Mo | the Alexandria database | PBE | relaxed
# ΔE_f: 0.193 eV/atom
# crystal system: orthorhombic
# VASP energy: -6.50 eV/atom
data_CoNi5Mo
_chemical_formula_sum 'Co4 Ni20 Mo4'
_cell_length_a 7.414
_cell_length_b 4.836
_cell_length_c 9.493
_cell_angle_alpha 90.00
_cell_angle_beta 90.00
_cell_angle_gamma 90.00
_symmetry_space_group_name_H-M 'C m c m'
_symmetry_Int_Tables_number 63
_symmetry_space_group_name_Hall '-C 2c 2'
loop_
_atom_site_label
_atom_site_type_symbol
_atom_site_fract_x
_atom_site_fract_y
_atom_site_fract_z
Co1 Co 0.000 0.144 0.250
Ni1 Ni 0.000 0.382 0.750
Ni2 Ni 0.216 0.127 0.617
Mo1 Mo 0.000 0.500 0.000